[1]
DFT (PBE-GGA) results for an optimized crystal structure of ScPaC.

Computed properties:
Polymorph energy (0 for the lowest one) in meV/atom: 228
Total magnetic moment in μB per formula unit: 0.0
SG: No. 70
Calculated formation energy in eV/atom: -0.06

```
ScPaC
1.0
-0.393 -0.115 6.162
-5.715 -1.561 -1.744
4.522 -4.530 -2.216
C Pa Sc
4 4 4
Direct
0.812 0.188 0.000
0.188 0.812 0.000
0.062 0.938 0.500
0.438 0.562 0.500
0.625 0.875 0.250
0.625 0.375 0.250
0.125 0.375 0.750
0.625 0.375 0.750
0.134 0.134 0.268
0.116 0.616 0.232
0.384 0.884 0.768
0.866 0.866 0.732
```


[2]
DFT (PBE-GGA) results for an optimized crystal structure of PrPuHgO6.

Computed properties:
Raw formation energy in kJ per mole of atoms: -201.7
Total magnetic moment in μB per formula unit: 1.0
SG: No. 163

```
PrPuHgO6
1.0
5.695 0.000 0.000
-2.847 4.932 0.000
0.000 0.000 10.263
O Pr Hg Pu
12 2 2 2
Direct
0.679 0.050 0.365
0.679 0.629 0.135
0.321 0.371 0.865
0.321 0.950 0.635
0.371 0.321 0.365
0.371 0.050 0.135
0.050 0.679 0.865
0.050 0.371 0.635
0.950 0.321 0.135
0.950 0.629 0.365
0.629 0.950 0.865
0.629 0.679 0.635
0.000 0.000 0.500
0.000 0.000 0.000
0.667 0.333 0.750
0.333 0.667 0.250
0.667 0.333 0.250
0.333 0.667 0.750
```


[3]
DFT (PBE-GGA) results for an optimized crystal structure of ScZnTc3.

Computed properties:
Polymorph energy (0 for the lowest one) in meV/atom: 0
Total magnetic moment in μB per formula unit: 0.0
SG: No. 221
Calculated formation energy in eV/atom: 1.23

```
ScZnTc3
1.0
4.541 0.000 0.000
0.000 4.541 0.000
0.000 0.000 4.541
Tc Sc Zn
3 1 1
Direct
0.000 0.000 0.500
0.000 0.500 0.000
0.500 0.000 0.000
0.500 0.500 0.500
0.000 0.000 0.000
```